A plane-wave DFT calculation with PBE was carried out for crystalline MnHg2Sb at its relaxed geometry.

Cell: 8.174 8.174 6.454 Å, 50.71 50.71 90.00°
Fractional coordinates of all 8 atoms:
Sb (0.000, 0.000, 0.000)
Sb (0.750, 0.250, 0.500)
Mn (0.500, 0.500, 0.000)
Mn (0.250, 0.750, 0.500)
Hg (0.603, 0.125, 0.250)
Hg (0.147, 0.625, 0.250)
Hg (0.375, 0.397, 0.750)
Hg (0.875, 0.853, 0.750)

Output
VASP energy ... -3.16 eV/atom

=====

A plane-wave DFT calculation with PBE was carried out for crystalline YBTe2Pb at its relaxed geometry.

Cell: 5.891 4.759 5.891 Å, 90.00 90.00 90.00°
Fractional coordinates of all 5 atoms:
Pb (0.500, 0.500, 0.500)
Y (0.000, 0.000, 0.000)
B (0.000, 0.500, 0.000)
Te (0.000, 0.000, 0.500)
Te (0.500, 0.000, 0.000)

Output
VASP energy ... -4.28 eV/atom

=====

A plane-wave DFT calculation with PBE was carried out for crystalline SmPuMgSn at its relaxed geometry.

Cell: 5.371 5.371 5.371 Å, 60.00 60.00 60.00°
Fractional coordinates of all 4 atoms:
Mg (0.750, 0.750, 0.750)
Sn (0.250, 0.250, 0.250)
Sm (0.000, 0.000, 0.000)
Pu (0.500, 0.500, 0.500)

Output
VASP energy ... -6.40 eV/atom
ΔE_f ... -0.241 eV per atom

=====

A plane-wave DFT calculation with PBE was carried out for crystalline K2HPb at its relaxed geometry.

Cell: 7.744 7.744 7.213 Å, 57.53 57.53 90.00°
Fractional coordinates of all 8 atoms:
Pb (0.000, 0.000, 0.000)
Pb (0.750, 0.250, 0.500)
H (0.500, 0.500, 0.000)
H (0.250, 0.750, 0.500)
K (0.505, 0.125, 0.250)
K (0.245, 0.625, 0.250)
K (0.375, 0.495, 0.750)
K (0.875, 0.755, 0.750)

Output
ΔE to the lowest computed polymorph ... 0.180 eV/atom
VASP energy ... -2.23 eV/atom

=====

A plane-wave DFT calculation with PBE was carried out for crystalline FeCo at its relaxed geometry.

Cell: 9.010 9.010 2.419 Å, 90.00 90.00 90.00°
Fractional coordinates of all 16 atoms:
Fe (0.835, 0.685, 0.500)
Fe (0.165, 0.315, 0.500)
Fe (0.315, 0.835, 0.500)
Fe (0.685, 0.165, 0.500)
Fe (0.900, 0.417, 0.000)
Fe (0.100, 0.583, 0.000)
Fe (0.583, 0.900, 0.000)
Fe (0.417, 0.100, 0.000)
Co (0.670, 0.450, 0.500)
Co (0.330, 0.550, 0.500)
Co (0.550, 0.670, 0.500)
Co (0.450, 0.330, 0.500)
Co (0.055, 0.830, 0.000)
Co (0.945, 0.170, 0.000)
Co (0.170, 0.055, 0.000)
Co (0.830, 0.945, 0.000)

Output
VASP energy ... -7.40 eV/atom
ΔE_f ... 0.388 eV per atom

=====

A plane-wave DFT calculation with PBE was carried out for crystalline Ac2Si2Ru2C at its relaxed geometry.

Cell: 4.197 6.156 6.480 Å, 71.77 71.10 70.07°
Fractional coordinates of all 7 atoms:
Ac (0.558, 0.193, 0.690)
Ac (0.442, 0.807, 0.310)
Si (0.190, 0.373, 0.248)
Si (0.810, 0.627, 0.752)
Ru (0.191, 0.699, 0.920)
Ru (0.809, 0.301, 0.080)
C (0.000, 0.000, 0.000)

Output
VASP energy ... -7.30 eV/atom

=====

A plane-wave DFT calculation with PBE was carried out for crystalline LaMn2Pb at its relaxed geometry.

Cell: 3.389 3.344 8.568 Å, 67.03 90.00 90.00°
Fractional coordinates of all 4 atoms:
La (0.500, 0.713, 0.786)
Mn (0.000, 0.937, 0.063)
Mn (0.500, 0.297, 0.204)
Pb (0.000, 0.554, 0.447)

Output
VASP energy ... -6.60 eV/atom
ΔE_f ... 0.141 eV per atom

=====

A plane-wave DFT calculation with PBE was carried out for crystalline ZnMoIr at its relaxed geometry.

Cell: 2.781 2.781 6.721 Å, 90.00 90.00 120.00°
Fractional coordinates of all 3 atoms:
Ir (0.000, 0.000, 0.005)
Mo (0.667, 0.333, 0.325)
Zn (0.333, 0.667, 0.670)

Output
ΔE to the lowest computed polymorph ... 0.132 eV/atom
VASP energy ... -7.05 eV/atom
ΔE_f ... -0.058 eV per atom